1.
Material: Pr3Ho3TmS8
Method: DFT, PBE-GGA
State: optimized geometry

**D(E_F)**: 20.78 states/eV/cell

CIF file:
```
data_Pr3Ho3TmS8
_symmetry_space_group_name_H-M 'R -3 m'
_symmetry_Int_Tables_number 166
_symmetry_space_group_name_Hall '-R 3 2"'
_cell_length_a 7.8955
_cell_length_b 7.8955
_cell_length_c 19.8422
_cell_angle_alpha 90.00
_cell_angle_beta 90.00
_cell_angle_gamma 120.00
loop_
_atom_site_label
_atom_site_type_symbol
_atom_site_fract_x
_atom_site_fract_y
_atom_site_fract_z
_atom_site_occupancy
Pr1 Pr 0.0000 0.5000 0.0000 1
Ho1 Ho 0.0000 0.5000 0.5000 1
Tm1 Tm 0.0000 0.0000 0.5000 1
S1 S 0.0000 0.0000 0.2433 1
S2 S 0.0003 0.5001 0.2435 1
```


2.
Material: Pr3YHo3S8
Method: DFT, PBE-GGA
State: optimized geometry

**D(E_F)**: 20.77 states/eV/cell

CIF file:
```
data_Pr3YHo3S8
_symmetry_space_group_name_H-M 'R -3 m'
_symmetry_Int_Tables_number 166
_symmetry_space_group_name_Hall '-R 3 2"'
_cell_length_a 7.9093
_cell_length_b 7.9093
_cell_length_c 19.8177
_cell_angle_alpha 90.00
_cell_angle_beta 90.00
_cell_angle_gamma 120.00
loop_
_atom_site_label
_atom_site_type_symbol
_atom_site_fract_x
_atom_site_fract_y
_atom_site_fract_z
_atom_site_occupancy
Pr1 Pr 0.0000 0.5000 0.0000 1
Y1 Y 0.0000 0.0000 0.5000 1
Ho1 Ho 0.0000 0.5000 0.5000 1
S1 S 0.0000 0.0000 0.2434 1
S2 S 0.0044 0.5022 0.7554 1
```


Raw formation energy in eV/atom, matching the order above: -2.045 -2.047
Calculated volume in Å³ per atom, matching the order above: 23.8 23.9